Entry 1:
Pm4Nd2Sc3 | PBE | relaxed

Lattice parameters (Å, degrees): 6.209 9.126 11.004 71.08 73.78 89.94
Space group P-1 (No. 2)
Symmetry-distinct sites (fractional):
Pm 0.007 0.427 0.166 x2
Pm 0.125 0.366 0.607 x2
Pm 0.326 0.908 0.166 x2
Pm 0.459 0.699 0.941 x2
Nd 0.207 0.967 0.727 x2
Nd 0.340 0.759 0.500 x2
Sc 0.119 0.192 0.940 x2
Sc 0.214 0.143 0.392 x2
Sc 0.452 0.524 0.273 x2

Summary:
Its formation energy is 50 meV per atom.



Entry 2:
LiMg2Ir | PBE | relaxed

Lattice parameters (Å, degrees): 2.699 4.478 13.869 90.00 90.00 90.00
Space group Immm (No. 71)
Symmetry-distinct sites (fractional):
Li 0.000 0.000 0.000 x2
Mg 0.000 0.000 0.316 x4
Ir 0.000 0.000 0.500 x2

Summary:
Its formation energy is 209 meV per atom.



no.,DOS(E_F) (states/eV per atom),total moment (μB per formula unit)
1,1.643,0.000
2,0.460,0.000